Record 1
VASP calculation (GGA-PBE) on a relaxed ZrUCo4 crystal.

Total magnetization: 0.0 μB/f.u.
DFT total energy: -198.22 eV/cell
Volume: 13.8 Å³ per atom

Cell: 6.9157 6.9157 6.9157 Å, 90.00 90.00 90.00°
Space group F-43m (No. 216)
Asymmetric unit:
Zr 0.0000 0.0000 0.0000 x4
U 0.2500 0.2500 0.2500 x4
Co 0.1248 0.1248 0.6248 x16


Record 2
VASP calculation (GGA-PBE) on a relaxed Dy4Cd3Rh crystal.

Total magnetization: 0.0 μB/f.u.
DFT total energy: -32.18 eV/cell
Volume: 24.6 Å³ per atom

Cell: 3.6018 3.6018 15.1461 Å, 90.00 90.00 90.00°
Space group P4/mmm (No. 123)
Asymmetric unit:
Dy 0.0000 0.0000 0.1059 x2
Dy 0.0000 0.0000 0.3707 x2
Cd 0.5000 0.5000 0.2423 x2
Cd 0.5000 0.5000 0.5000 x1
Rh 0.5000 0.5000 0.0000 x1


Record 3
VASP calculation (GGA-PBE) on a relaxed BaTlAg2 crystal.

Total magnetization: 0.0 μB/f.u.
DFT total energy: -10.30 eV/cell
Volume: 29.0 Å³ per atom

Cell: 3.9442 4.0137 7.3379 Å, 90.00 90.12 90.00°
Space group P2/m (No. 10)
Asymmetric unit:
Ba 0.0000 0.0000 0.0000 x1
Tl 0.0000 0.0000 0.5000 x1
Ag 0.4994 0.5000 0.2959 x2


Record 4
VASP calculation (GGA-PBE) on a relaxed K3WCl6 crystal.

Total magnetization: 3.0 μB/f.u.
Volume: 32.5 Å³ per atom
ΔE_f (raw): -1.436 eV/atom

Cell: 12.3910 12.3910 14.6797 Å, 90.00 90.00 120.00°
Space group R-3 (No. 148, hexagonal axes)
Asymmetric unit:
K 0.0473 0.2714 0.2017 x18
W 0.0000 0.0000 0.0000 x3
W 0.0000 0.0000 0.5000 x3
Cl 0.0199 0.1735 0.4047 x18
Cl 0.0307 0.1765 0.9035 x18